# Ac3La7Ho2, relaxed, DFT PBE
# **Total moment**: 0.00 μB per formula unit
# **Formation energy from the elements**: 0.184 eV/atom
# **Volume**: 38.47 A^3/atom
data_Ac3La7Ho2
_symmetry_space_group_name_H-M 'R -3 m'
_symmetry_Int_Tables_number 166
_symmetry_space_group_name_Hall '-R 3 2"'
_cell_length_a 7.1911
_cell_length_b 7.1911
_cell_length_c 30.9242
_cell_angle_alpha 90.00
_cell_angle_beta 90.00
_cell_angle_gamma 120.00
loop_
_atom_site_label
_atom_site_type_symbol
_atom_site_fract_x
_atom_site_fract_y
_atom_site_fract_z
Ac1 Ac 0.0000 0.0000 0.0000
Ac2 Ac 0.0000 0.0000 0.1325
La1 La 0.0000 0.0000 0.5000
La2 La 0.0367 0.5184 0.9100
Ho1 Ho 0.0000 0.0000 0.3397